Here is crystalline Tb2Pm3Tm5 at its relaxed geometry from the Alexandria database. Energies are from PBE.

Cell lengths 9.5335, 9.5335, 9.3707 Å; angles 108.32, 108.32, 112.40 degrees
With the nearest neighbours (Å) after each atom.
Fractional coordinates of all 20 atoms:
Tb  0.0308  0.2680  0.0480  2 Pm 3.13-3.28, 4 Tm 3.27-3.48
Tb  0.2680  0.0308  0.5480  2 Pm 3.13-3.28, 4 Tm 3.27-3.48
Tb  0.7320  0.9692  0.4520  2 Pm 3.13-3.28, 4 Tm 3.27-3.48
Tb  0.9692  0.7320  0.9520  2 Pm 3.13-3.28, 4 Tm 3.27-3.48
Pm  0.2290  0.4753  0.4524  1 Tb 3.13, 5 Tm 3.28-3.47
Pm  0.2661  0.7339  0.2500  4 Tb 3.28-3.58, 3 Tm 3.29-3.60, 2 Pm 3.54
Pm  0.4753  0.2290  0.9524  1 Tb 3.13, 5 Tm 3.28-3.47
Pm  0.5247  0.7710  0.0476  1 Tb 3.13, 5 Tm 3.28-3.47
Pm  0.7339  0.2661  0.7500  4 Tb 3.28-3.58, 3 Tm 3.29-3.60, 2 Pm 3.54
Pm  0.7710  0.5247  0.5476  1 Tb 3.13, 5 Tm 3.28-3.47
Tm  0.0275  0.9725  0.7500  3 Tm 3.19-3.46, 4 Tb 3.27-3.40, 2 Pm 3.44
Tm  0.1331  0.3587  0.7408  3 Tm 3.44-3.65, 3 Pm 3.47-3.60, 2 Tb 3.48-3.56
Tm  0.2289  0.7711  0.7500  1 Tm 3.19, 4 Pm 3.28-3.51, 2 Tb 3.54
Tm  0.3587  0.1331  0.2408  3 Tm 3.44-3.65, 3 Pm 3.47-3.60, 2 Tb 3.48-3.56
Tm  0.4737  0.5263  0.2500  5 Pm 3.29-3.43, 2 Tb 3.40, 2 Tm 3.44
Tm  0.5263  0.4737  0.7500  5 Pm 3.29-3.43, 2 Tb 3.40, 2 Tm 3.44
Tm  0.6413  0.8669  0.7592  3 Tm 3.44-3.65, 3 Pm 3.47-3.60, 2 Tb 3.48-3.56
Tm  0.7711  0.2289  0.2500  1 Tm 3.19, 4 Pm 3.28-3.51, 2 Tb 3.54
Tm  0.8669  0.6413  0.2592  3 Tm 3.44-3.65, 3 Pm 3.47-3.60, 2 Tb 3.48-3.56
Tm  0.9725  0.0275  0.2500  3 Tm 3.19-3.46, 4 Tb 3.27-3.40, 2 Pm 3.44

Properties
Distance to the lowest polymorph of the same formula ... 0 meV/atom
Total energy ... -43.94 eV/f.u.
Space-group type ... C2/c
Magnetization ... 0.000 μB per formula unit
Formation enthalpy at 0 K ... 193 meV/atom



Here is crystalline ZnGa6Rh3 at its relaxed geometry from the Alexandria database. Energies are from PBE.

Cell lengths 7.0648, 5.7728, 9.1241 Å; angles 90.00, 116.50, 90.00 degrees
With the nearest neighbours (Å) after each atom.
Fractional coordinates of all 20 atoms:
Zn  0.0000  0.0000  0.0000  2 Rh 2.53, 6 Ga 2.63-2.78
Zn  0.0000  0.5000  0.5000  2 Rh 2.53, 6 Ga 2.63-2.78
Ga  0.1145  0.0799  0.4214  4 Rh 2.53-2.62, 3 Ga 2.69-2.80, 1 Zn 2.75
Ga  0.1145  0.4201  0.9214  4 Rh 2.53-2.62, 3 Ga 2.69-2.80, 1 Zn 2.75
Ga  0.2440  0.6608  0.3747  2 Rh 2.50-2.56, 1 Zn 2.63, 3 Ga 2.69-2.80
Ga  0.2440  0.8392  0.8747  2 Rh 2.50-2.56, 1 Zn 2.63, 3 Ga 2.69-2.80
Ga  0.4327  0.5414  0.7001  3 Rh 2.48-2.57, 1 Ga 2.75
Ga  0.4327  0.9586  0.2001  3 Rh 2.48-2.57, 1 Ga 2.75
Ga  0.5673  0.0414  0.7999  3 Rh 2.48-2.57, 1 Ga 2.75
Ga  0.5673  0.4586  0.2999  3 Rh 2.48-2.57, 1 Ga 2.75
Ga  0.7560  0.1608  0.1253  2 Rh 2.50-2.56, 1 Zn 2.63, 3 Ga 2.69-2.80
Ga  0.7560  0.3392  0.6253  2 Rh 2.50-2.56, 1 Zn 2.63, 3 Ga 2.69-2.80
Ga  0.8855  0.5799  0.0786  4 Rh 2.53-2.62, 3 Ga 2.69-2.80, 1 Zn 2.75
Ga  0.8855  0.9201  0.5786  4 Rh 2.53-2.62, 3 Ga 2.69-2.80, 1 Zn 2.75
Rh  0.2081  0.2031  0.7154  6 Ga 2.48-2.62, 1 Zn 2.53
Rh  0.2081  0.2969  0.2154  6 Ga 2.48-2.62, 1 Zn 2.53
Rh  0.5000  0.0000  0.5000  6 Ga 2.53-2.57
Rh  0.5000  0.5000  0.0000  6 Ga 2.53-2.57
Rh  0.7919  0.7031  0.7846  6 Ga 2.48-2.62, 1 Zn 2.53
Rh  0.7919  0.7969  0.2846  6 Ga 2.48-2.62, 1 Zn 2.53

Properties
Total energy ... -44.85 eV/f.u.
Space-group type ... P2_1/c
Magnetization ... 0.000 μB per formula unit
Formation enthalpy at 0 K ... -336 meV/atom



Here is crystalline Dy7Ho2Er3 at its relaxed geometry from the Alexandria database. Energies are from PBE.

Cell lengths 18.7984, 18.7984, 3.5558 Å; angles 90.00, 90.00, 162.37 degrees
With the nearest neighbours (Å) after each atom.
Fractional coordinates of all 12 atoms:
Dy  0.0000  0.0000  0.0000  4 Er 3.39, 2 Dy 3.56
Dy  0.0911  0.9089  0.5000  8 Dy 3.45-3.82, 2 Ho 3.63, 2 Er 3.63
Dy  0.2700  0.7300  0.0000  4 Dy 3.24-3.56, 2 Er 3.45, 3 Ho 3.49-3.51
Dy  0.4274  0.5726  0.0000  4 Er 3.23-3.40, 6 Dy 3.45-3.56
Dy  0.5726  0.4274  0.0000  4 Er 3.23-3.40, 6 Dy 3.45-3.56
Dy  0.7300  0.2700  0.0000  4 Dy 3.24-3.56, 2 Er 3.45, 3 Ho 3.49-3.51
Dy  0.9089  0.0911  0.5000  8 Dy 3.45-3.82, 2 Ho 3.63, 2 Er 3.63
Ho  0.1762  0.8238  0.0000  5 Dy 3.49-3.63, 4 Er 3.52, 2 Ho 3.56
Ho  0.8238  0.1762  0.0000  5 Dy 3.49-3.63, 4 Er 3.52, 2 Ho 3.56
Er  0.3495  0.6505  0.5000  6 Dy 3.40-3.63, 4 Ho 3.52, 2 Er 3.56
Er  0.5000  0.5000  0.5000  8 Dy 3.23-3.39, 2 Er 3.56
Er  0.6505  0.3495  0.5000  6 Dy 3.40-3.63, 4 Ho 3.52, 2 Er 3.56

Properties
Distance to the lowest polymorph of the same formula ... 0 meV/atom
Total energy ... -53.17 eV/f.u.
Space-group type ... Cmmm
Magnetization ... 0.035 μB per formula unit
Formation enthalpy at 0 K ... 157 meV/atom



Here is crystalline Mo2SeCl at its relaxed geometry from the Alexandria database. Energies are from PBE.

Cell lengths 4.9865, 4.9865, 4.9865 Å; angles 132.76, 132.76, 69.03 degrees
With the nearest neighbours (Å) after each atom.
Fractional coordinates of all 4 atoms:
Mo  0.0000  0.0000  0.0000  4 Cl 2.83, 4 Mo 2.87, 4 Se 2.87
Mo  0.7500  0.2500  0.5000  4 Se 2.83, 4 Cl 2.87, 4 Mo 2.87
Se  0.2500  0.7500  0.5000  8 Mo 2.83-2.87, 4 Cl 2.87
Cl  0.5000  0.5000  0.0000  8 Mo 2.83-2.87, 4 Se 2.87

Properties
Distance to the lowest polymorph of the same formula ... 886 meV/atom
Total energy ... -24.22 eV/f.u.
Space-group type ... I-4m2
Magnetization ... 0.000 μB per formula unit
Formation energy without anion corrections ... 267 kJ/mol of formula units



Here is crystalline Ba2ScCdF at its relaxed geometry from the Alexandria database. Energies are from PBE.

Cell lengths 6.9168, 6.9168, 4.0500 Å; angles 90.00, 90.00, 90.00 degrees
With the nearest neighbours (Å) after each atom.
Fractional coordinates of all 5 atoms:
Ba  0.0000  0.5000  0.0000  2 Sc 3.46
Ba  0.5000  0.0000  0.0000  2 Sc 3.46
Sc  0.0000  0.0000  0.0000  2 F 2.03
Cd  0.5000  0.5000  0.5000  8 Ba 4.01, 2 Cd 4.05
F  0.0000  0.0000  0.5000  2 Sc 2.03

Properties
Total energy ... -16.38 eV/f.u.
Space-group type ... P4/mmm
Magnetization ... 0.295 μB per formula unit
Formation energy without anion corrections ... -330 kJ/mol of formula units



Here is crystalline Pm3Dy2ThTe6 at its relaxed geometry from the Alexandria database. Energies are from PBE.

Cell lengths 9.8520, 9.8520, 8.9355 Å; angles 101.35, 101.35, 25.76 degrees
With the nearest neighbours (Å) after each atom.
Fractional coordinates of all 12 atoms:
Pm  0.0000  0.0000  0.0000  6 Te 3.11-3.20
Pm  0.3408  0.3408  0.6638  6 Te 3.09-3.20
Pm  0.6592  0.6592  0.3362  6 Te 3.09-3.20
Dy  0.3352  0.3352  0.1675  6 Te 3.01-3.11
Dy  0.6648  0.6648  0.8325  6 Te 3.01-3.11
Th  0.0000  0.0000  0.5000  6 Te 3.16-3.22
Te  0.1700  0.1700  0.0811  3 Dy 3.11, 3 Pm 3.20
Te  0.1709  0.1709  0.5946  2 Dy 3.08, 3 Pm 3.16-3.20, 1 Th 3.22
Te  0.4952  0.4952  0.2442  1 Dy 3.01, 3 Pm 3.09-3.11, 2 Th 3.16
Te  0.5048  0.5048  0.7558  1 Dy 3.01, 3 Pm 3.09-3.11, 2 Th 3.16
Te  0.8291  0.8291  0.4054  2 Dy 3.08, 3 Pm 3.16-3.20, 1 Th 3.22
Te  0.8300  0.8300  0.9189  3 Dy 3.11, 3 Pm 3.20

Properties
Total energy ... -65.26 eV/f.u.
Space-group type ... C2/m
Magnetization ... 0.000 μB per formula unit
Formation energy without anion corrections ... -1499 kJ/mol of formula units



Here is crystalline TlZnSi at its relaxed geometry from the Alexandria database. Energies are from PBE.

Cell lengths 6.1220, 6.1220, 6.1220 Å; angles 151.40, 142.86, 47.53 degrees
With the nearest neighbours (Å) after each atom.
Fractional coordinates of all 3 atoms:
Tl  0.0000  0.0000  0.0000  2 Tl 3.02, 1 Zn 3.17, 1 Si 3.22
Zn  0.7168  0.7168  0.0000  4 Si 2.59
Si  0.2875  0.2875  0.0000  4 Zn 2.59

Properties
Distance to the lowest polymorph of the same formula ... 77 meV/atom
Total energy ... -7.97 eV/f.u.
Space-group type ... Imm2
Magnetization ... 0.000 μB per formula unit
Formation energy without anion corrections ... 106 kJ/mol of formula units



Here is crystalline K2InCl at its relaxed geometry from the Alexandria database. Energies are from PBE.

Cell lengths 3.9656, 3.9656, 10.4508 Å; angles 90.00, 90.00, 90.00 degrees
With the nearest neighbours (Å) after each atom.
Fractional coordinates of all 4 atoms:
K  0.0000  0.0000  0.0000  1 Cl 3.02
K  0.5000  0.5000  0.4072  4 Cl 3.06
In  0.5000  0.5000  0.7608  5 K 3.70-3.76, 4 In 3.97
Cl  0.0000  0.0000  0.2891  5 K 3.02-3.06

Properties
Distance to the lowest polymorph of the same formula ... 96 meV/atom
Total energy ... -9.93 eV/f.u.
Space-group type ... P4mm
Magnetization ... 0.000 μB per formula unit
Formation energy without anion corrections ... -304 kJ/mol of formula units



Here is crystalline AcMgHg2 at its relaxed geometry from the Alexandria database. Energies are from PBE.

Cell lengths 8.1697, 8.1697, 8.1697 Å; angles 30.44, 30.44, 30.44 degrees
With the nearest neighbours (Å) after each atom.
Fractional coordinates of all 4 atoms:
Ac  0.0000  0.0000  0.0000  6 Hg 3.35-3.38
Mg  0.8291  0.8291  0.8291  6 Hg 2.92-3.00
Hg  0.4298  0.4298  0.4298  3 Mg 2.92, 1 Hg 3.23
Hg  0.5681  0.5681  0.5681  3 Mg 3.00, 1 Hg 3.23

Properties
Distance to the lowest polymorph of the same formula ... 195 meV/atom
Total energy ... -7.28 eV/f.u.
Space-group type ... R3m
Magnetization ... 0.000 μB per formula unit
Formation enthalpy at 0 K ... -243 meV/atom



N(E_F) in states/eV per cell, matching the order above: 34.50, 7.54, 20.66, 3.20, 7.30, 7.53, 0.97, 2.29, 3.51